# Cs2GeI2Cl4

An optimized crystal structure of Cs2GeI2Cl4 (PBE, Alexandria).

Cell lengths 7.699, 7.699, 7.699 Å; angles 116.81, 116.81, 95.63 degrees
Fractional coordinates of all 9 atoms:
Cs  0.250  0.750  0.500
Cs  0.750  0.250  0.500
Ge  0.000  0.000  0.000
I  0.265  0.265  0.000
I  0.735  0.735  0.000
Cl  0.207  0.207  0.414
Cl  0.207  0.793  0.000
Cl  0.793  0.207  0.000
Cl  0.793  0.793  0.586

Volume = 37.4 Å³/atom
E_tot = -3.05 eV per atom
Symmetry = I4/mmm
ΔE_f (raw) = -1.18 eV per atom

# CsIn2GeCl5

An optimized crystal structure of CsIn2GeCl5 (PBE, Alexandria).

Cell lengths 9.960, 9.960, 9.960 Å; angles 127.68, 127.68, 77.15 degrees
Fractional coordinates of all 18 atoms:
Cs  0.250  0.250  0.000
Cs  0.750  0.750  0.000
In  0.183  0.683  0.866
In  0.317  0.183  0.500
In  0.683  0.817  0.500
In  0.817  0.317  0.134
Ge  0.250  0.750  0.500
Ge  0.750  0.250  0.500
Cl  0.000  0.000  0.000
Cl  0.011  0.195  0.500
Cl  0.195  0.695  0.183
Cl  0.305  0.489  0.500
Cl  0.489  0.989  0.183
Cl  0.500  0.500  0.000
Cl  0.511  0.011  0.817
Cl  0.695  0.511  0.500
Cl  0.805  0.305  0.817
Cl  0.989  0.805  0.500

Volume = 33.4 Å³/atom
E_tot = -3.29 eV per atom
Symmetry = I4/mcm
ΔE_f (raw) = -1.05 eV per atom

# CsIn2GeCl8

An optimized crystal structure of CsIn2GeCl8 (PBE, Alexandria).

Cell lengths 10.626, 10.626, 10.626 Å; angles 37.76, 37.76, 37.76 degrees
Fractional coordinates of all 12 atoms:
Cs  0.000  0.000  0.000
In  0.243  0.243  0.243
In  0.757  0.757  0.757
Ge  0.500  0.500  0.500
Cl  0.134  0.776  0.430
Cl  0.224  0.570  0.866
Cl  0.326  0.326  0.326
Cl  0.430  0.134  0.776
Cl  0.570  0.866  0.224
Cl  0.674  0.674  0.674
Cl  0.776  0.430  0.134
Cl  0.866  0.224  0.570

Volume = 33.6 Å³/atom
E_tot = -3.20 eV per atom
Symmetry = R-3
ΔE_f (raw) = -1.05 eV per atom

# Cs2InGeCl6

An optimized crystal structure of Cs2InGeCl6 (PBE, Alexandria).

Cell lengths 7.641, 7.641, 7.641 Å; angles 119.89, 119.89, 90.19 degrees
Fractional coordinates of all 10 atoms:
Cs  0.250  0.750  0.500
Cs  0.750  0.250  0.500
In  0.000  0.000  0.000
Ge  0.500  0.500  0.000
Cl  0.254  0.254  0.000
Cl  0.254  0.254  0.509
Cl  0.254  0.746  0.000
Cl  0.746  0.254  0.000
Cl  0.746  0.746  0.000
Cl  0.746  0.746  0.491

Volume = 31.6 Å³/atom
E_tot = -3.37 eV per atom
Symmetry = I4/mmm
ΔE_f (raw) = -1.36 eV per atom

# CsGeIrCl2

An optimized crystal structure of CsGeIrCl2 (PBE, Alexandria).

Cell lengths 5.373, 5.373, 4.699 Å; angles 90.00, 90.00, 90.00 degrees
Fractional coordinates of all 5 atoms:
Cs  0.000  0.000  0.000
Ge  0.500  0.500  0.000
Ir  0.500  0.500  0.500
Cl  0.000  0.500  0.500
Cl  0.500  0.000  0.500

Volume = 27.1 Å³/atom
E_tot = -4.01 eV per atom
Symmetry = P4/mmm
ΔE_f (raw) = -0.41 eV per atom

# Cs4KGe3Cl12

An optimized crystal structure of Cs4KGe3Cl12 (PBE, Alexandria).

Cell lengths 9.373, 9.373, 9.373 Å; angles 109.47, 109.47, 109.47 degrees
Fractional coordinates of all 20 atoms:
Cs  0.000  0.000  0.500
Cs  0.000  0.500  0.000
Cs  0.500  0.000  0.000
Cs  0.500  0.500  0.500
K  0.000  0.000  0.000
Ge  0.000  0.500  0.500
Ge  0.500  0.000  0.500
Ge  0.500  0.500  0.000
Cl  0.000  0.270  0.270
Cl  0.000  0.730  0.730
Cl  0.250  0.500  0.750
Cl  0.250  0.750  0.500
Cl  0.270  0.000  0.270
Cl  0.270  0.270  0.000
Cl  0.500  0.250  0.750
Cl  0.500  0.750  0.250
Cl  0.730  0.000  0.730
Cl  0.730  0.730  0.000
Cl  0.750  0.250  0.500
Cl  0.750  0.500  0.250

Volume = 31.7 Å³/atom
E_tot = -3.42 eV per atom
Symmetry = Im-3m
ΔE_f (raw) = -1.40 eV per atom

Question: Among the records above, which one has the lowest volume?
Answer: CsGeIrCl2